No. 1
This record from the Alexandria database describes crystalline Tb3Nd at its relaxed geometry. The functional is PBE-GGA.

Geometry as CIF:
```
data_Tb3Nd
_chemical_formula_sum 'Tb3 Nd1'
_space_group_name_H-M_alt 'P 1'
_space_group_IT_number 1
_space_group_name_Hall 'P 1'
_cell_length_a 3.657
_cell_length_b 5.747
_cell_length_c 6.321
_cell_angle_alpha 90.00
_cell_angle_beta 90.00
_cell_angle_gamma 90.00
loop_
_atom_site_label
_atom_site_fract_x
_atom_site_fract_y
_atom_site_fract_z
_atom_site_occupancy
Tb1 0.000 0.000 0.000 1
Tb2 0.000 0.500 0.333 1
Tb3 0.500 0.500 0.834 1
Nd1 0.500 0.000 0.499 1
```

Output
space group: Pmm2
raw total energy: -4.641 eV per atom
theoretical density: 7.76 g cm⁻³

---

No. 2
This record from the Alexandria database describes crystalline Tb3Nd at its relaxed geometry. The functional is PBE-GGA.

Geometry as CIF:
```
data_Tb3Nd
_chemical_formula_sum 'Tb3 Nd1'
_space_group_name_H-M_alt 'P 1'
_space_group_IT_number 1
_space_group_name_Hall 'P 1'
_cell_length_a 5.076
_cell_length_b 5.076
_cell_length_c 5.076
_cell_angle_alpha 90.00
_cell_angle_beta 90.00
_cell_angle_gamma 90.00
loop_
_atom_site_label
_atom_site_fract_x
_atom_site_fract_y
_atom_site_fract_z
_atom_site_occupancy
Tb1 0.000 0.000 0.500 1
Tb2 0.000 0.500 0.000 1
Tb3 0.500 0.000 0.000 1
Nd1 0.500 0.500 0.500 1
```

Output
space group: Pm-3m
raw total energy: -4.646 eV per atom
theoretical density: 7.88 g cm⁻³

---

No. 3
This record from the Alexandria database describes crystalline TbNd2 at its relaxed geometry. The functional is PBE-GGA.

Geometry as CIF:
```
data_TbNd2
_chemical_formula_sum 'Tb2 Nd4'
_space_group_name_H-M_alt 'P 1'
_space_group_IT_number 1
_space_group_name_Hall 'P 1'
_cell_length_a 6.694
_cell_length_b 6.694
_cell_length_c 6.694
_cell_angle_alpha 60.00
_cell_angle_beta 60.00
_cell_angle_gamma 60.00
loop_
_atom_site_label
_atom_site_fract_x
_atom_site_fract_y
_atom_site_fract_z
_atom_site_occupancy
Tb1 0.125 0.125 0.125 1
Tb2 0.875 0.875 0.875 1
Nd1 0.000 0.500 0.500 1
Nd2 0.500 0.000 0.500 1
Nd3 0.500 0.500 0.000 1
Nd4 0.500 0.500 0.500 1
```

Output
space group: Fd-3m
raw total energy: -4.460 eV per atom
theoretical density: 7.01 g cm⁻³

---

Which of these has the lowest raw total energy? number 2